No. 1
! NaNdSn6 PBE-GGA optimized geometry; values from VASP
&SYSTEM
  ibrav = 0, nat = 8, ntyp = 3
/
ATOMIC_SPECIES
Na 22.99 Na.upf
Nd 144.24 Nd.upf
Sn 118.71 Sn.upf
ATOMIC_POSITIONS crystal
Na 0.000 0.000 0.000
Nd 0.000 0.000 0.500
Sn 0.000 0.500 0.244
Sn 0.000 0.500 0.756
Sn 0.500 0.000 0.244
Sn 0.500 0.000 0.756
Sn 0.500 0.500 0.000
Sn 0.500 0.500 0.500
CELL_PARAMETERS angstrom
4.716 0.000 0.000
0.000 4.716 0.000
0.000 0.000 9.645
! size of the total moment = 0.00 μB per cell
! crystal system = tetragonal
! formation energy = -29.4 kJ/mol of atoms

=====

No. 2
! Hf4Bi2Sb PBE-GGA optimized geometry; values from VASP
&SYSTEM
  ibrav = 0, nat = 7, ntyp = 3
/
ATOMIC_SPECIES
Hf 178.49 Hf.upf
Bi 208.98 Bi.upf
Sb 121.76 Sb.upf
ATOMIC_POSITIONS crystal
Hf 0.000 0.500 0.500
Hf 0.182 0.182 0.000
Hf 0.500 0.000 0.500
Hf 0.818 0.818 0.000
Bi 0.373 0.373 0.000
Bi 0.627 0.627 0.000
Sb 0.000 0.000 0.000
CELL_PARAMETERS angstrom
-2.608 2.608 7.527
2.608 -2.608 7.527
2.608 2.608 -7.527
! size of the total moment = 0.00 μB per cell
! crystal system = tetragonal

=====

No. 3
! BeCd2Co PBE-GGA optimized geometry; values from VASP
&SYSTEM
  ibrav = 0, nat = 4, ntyp = 3
/
ATOMIC_SPECIES
Be 9.01 Be.upf
Cd 112.41 Cd.upf
Co 58.93 Co.upf
ATOMIC_POSITIONS crystal
Be 0.000 0.000 0.000
Cd 0.252 0.252 0.252
Cd 0.748 0.748 0.748
Co 0.500 0.500 0.500
CELL_PARAMETERS angstrom
1.434 0.828 8.746
-1.434 0.828 8.746
0.000 -1.655 8.746
! size of the total moment = 1.63 μB per cell
! crystal system = trigonal
! formation energy = 49.2 kJ/mol of atoms

=====

Number 1: electronic total energy -4.07 eV/atom. Number 2: electronic total energy -6.71 eV/atom. Number 3: electronic total energy -2.66 eV/atom.